(1)
PBE-GGA TaTeBr9, relaxed; energy = -37.33 eV/f.u.; theoretical density = 3.7 g/cm3; density of states at the Fermi level = 0.0000 states/eV per atom; formation energy without anion corrections = -0.662 eV per atom; space group = No. 11
1.0
7.222 0.000 0.000
0.000 12.463 0.000
-2.614 0.000 10.237
Ta Te Br
2 2 18
direct
0.148 0.250 0.148 Ta
0.852 0.750 0.852 Ta
0.257 0.250 0.530 Te
0.743 0.750 0.470 Te
0.017 0.750 0.356 Br
0.052 0.108 0.307 Br
0.052 0.392 0.307 Br
0.182 0.750 0.986 Br
0.261 0.104 0.032 Br
0.261 0.396 0.032 Br
0.447 0.097 0.663 Br
0.447 0.403 0.663 Br
0.481 0.250 0.323 Br
0.519 0.750 0.677 Br
0.553 0.597 0.337 Br
0.553 0.903 0.337 Br
0.739 0.604 0.968 Br
0.739 0.896 0.968 Br
0.818 0.250 0.014 Br
0.948 0.608 0.693 Br
0.948 0.892 0.693 Br
0.983 0.250 0.644 Br


(2)
PBE-GGA Na2CaBiF, relaxed; energy = -17.83 eV/f.u.; theoretical density = 4.6 g/cm3; density of states at the Fermi level = 0.0004 states/eV per atom; formation energy without anion corrections = -1.487 eV per atom; space group = No. 123
1.0
4.776 0.000 0.000
0.000 4.776 0.000
0.000 0.000 5.007
Na Ca Bi F
2 1 1 1
direct
0.000 0.500 0.000 Na
0.500 0.000 0.000 Na
0.000 0.000 0.500 Ca
0.500 0.500 0.500 Bi
0.000 0.000 0.000 F


(3)
PBE-GGA Al3CuNi, relaxed; energy = -18.82 eV/f.u.; energy relative to the lowest polymorph listed for this composition = 3.89 eV per formula unit; theoretical density = 3.9 g/cm3; density of states at the Fermi level = 0.3878 states/eV per atom; space group = No. 221; energy relative to the elements = 0.457 eV per atom
1.0
4.438 0.000 0.000
0.000 4.438 0.000
0.000 0.000 4.438
Al Cu Ni
3 1 1
direct
0.000 0.000 0.500 Al
0.000 0.500 0.000 Al
0.500 0.000 0.000 Al
0.000 0.000 0.000 Cu
0.500 0.500 0.500 Ni


(4)
PBE-GGA InNiRu2N, relaxed; energy = -34.98 eV/f.u.; theoretical density = 9.8 g/cm3; density of states at the Fermi level = 0.9584 states/eV per atom; formation energy without anion corrections = 0.083 eV per atom; space group = No. 123
1.0
4.090 0.000 0.000
0.000 4.090 0.000
0.000 0.000 3.927
In Ni Ru N
1 1 2 1
direct
0.000 0.000 0.000 In
0.500 0.500 0.000 Ni
0.000 0.500 0.500 Ru
0.500 0.000 0.500 Ru
0.500 0.500 0.500 N


(5)
PBE-GGA TiCd2C, relaxed; energy = -16.47 eV/f.u.; theoretical density = 6.6 g/cm3; density of states at the Fermi level = 0.3952 states/eV per atom; space group = No. 122; energy relative to the elements = 0.620 eV per atom
1.0
-4.114 4.114 2.127
4.114 -4.114 2.127
4.114 4.114 -2.127
Ti Cd C
2 4 2
direct
0.000 0.000 0.000 Ti
0.750 0.250 0.500 Ti
0.233 0.625 0.108 Cd
0.375 0.483 0.608 Cd
0.517 0.125 0.892 Cd
0.875 0.767 0.392 Cd
0.250 0.750 0.500 C
0.500 0.500 0.000 C


(6)
PBE-GGA TbPaCoRh, relaxed; energy = -30.84 eV/f.u.; energy relative to the lowest polymorph listed for this composition = 0.00 eV per formula unit; theoretical density = 11.3 g/cm3; density of states at the Fermi level = 0.6638 states/eV per atom; space group = No. 38; energy relative to the elements = -0.564 eV per atom
1.0
3.893 0.000 0.000
0.000 1.834 5.685
0.000 -1.834 5.685
Tb Pa Co Rh
1 1 1 1
direct
0.000 0.000 0.000 Tb
0.500 0.728 0.728 Pa
0.000 0.251 0.251 Co
0.500 0.424 0.424 Rh